Entry w
! CoBi2PbO6 (PBE with a Hubbard U, relaxed); values from VASP
&SYSTEM
  ibrav = 0, nat = 20, ntyp = 4
/
ATOMIC_SPECIES
Bi 208.98 Bi.upf
Co 58.93 Co.upf
O 16.00 O.upf
Pb 207.20 Pb.upf
ATOMIC_POSITIONS crystal
Bi 0.323 0.410 0.123
Bi 0.163 0.104 0.376
Bi 0.896 0.837 0.624
Bi 0.590 0.677 0.877
Co 0.010 0.990 0.000
Co 0.476 0.524 0.500
O 0.431 0.874 0.074
O 0.972 0.352 0.130
O 0.996 0.853 0.168
O 0.489 0.660 0.331
O 0.516 0.160 0.371
O 0.056 0.638 0.426
O 0.362 0.944 0.574
O 0.840 0.484 0.629
O 0.340 0.511 0.669
O 0.147 0.004 0.832
O 0.648 0.028 0.870
O 0.126 0.569 0.926
Pb 0.743 0.756 0.250
Pb 0.244 0.257 0.750
CELL_PARAMETERS angstrom
4.910 -2.887 0.000
4.910 2.887 0.000
-3.184 0.000 9.692
! M_tot = 6.0 Bohr magnetons per cell

Entry x
! CoBi2PbO6 (PBE with a Hubbard U, relaxed); values from VASP
&SYSTEM
  ibrav = 0, nat = 20, ntyp = 4
/
ATOMIC_SPECIES
Bi 208.98 Bi.upf
Co 58.93 Co.upf
O 16.00 O.upf
Pb 207.20 Pb.upf
ATOMIC_POSITIONS crystal
Bi 0.760 0.052 0.248
Bi 0.240 0.552 0.252
Bi 0.760 0.448 0.748
Bi 0.240 0.948 0.752
Co 0.000 0.000 0.000
Co 0.000 0.500 0.500
O 0.731 0.819 0.054
O 0.888 0.311 0.054
O 0.368 0.956 0.240
O 0.632 0.456 0.260
O 0.112 0.811 0.446
O 0.269 0.319 0.446
O 0.731 0.681 0.554
O 0.888 0.189 0.554
O 0.368 0.544 0.740
O 0.632 0.044 0.760
O 0.112 0.689 0.946
O 0.269 0.181 0.946
Pb 0.500 0.500 0.000
Pb 0.500 0.000 0.500
CELL_PARAMETERS angstrom
5.566 0.000 0.000
0.000 5.994 0.000
-5.563 0.000 7.997
! M_tot = 6.0 Bohr magnetons per cell

Result of the stability comparison: entry w is the least stable of them.